A relaxed Tl2ClF crystal, computed with PBE.

The density of states at the Fermi level is 0.00 states/eV per atom. The calculated total energy comes out at -3.439 eV/atom. Its total magnetization is 0.00 μB per atom. Its offset from the most stable computed form is 0.024 eV/atom. For the uncorrected formation energy, the calculation gives -1.33 eV per atom.

The structure belongs to space group C2/m (No. 12); the cell edges are 7.394, 7.027 and 9.564 Å and the angles 90.00°, 93.98° and 90.00°. The distinct sites, in fractional coordinates, are Tl at (0.000, 0.243, 0.000), Tl at (0.243, 0.500, 0.635), Cl at (0.140, 0.000, 0.708) and F at (0.229, 0.500, 0.894).

A relaxed HgBi2S2 crystal, computed with PBE.

The density of states at the Fermi level is 0.03 states/eV per atom. The calculated total energy comes out at -3.379 eV/atom. Its total magnetization is 0.00 μB per atom. Its offset from the most stable computed form is 0.000 eV/atom. For the uncorrected formation energy, the calculation gives -0.12 eV per atom.

The structure belongs to space group I4/mmm (No. 139); the cell edges are 5.454, 5.454 and 9.896 Å and the angles 90.00°, 90.00° and 90.00°. The distinct sites, in fractional coordinates, are Hg at (0.000, 0.000, 0.000), Bi at (0.000, 0.000, 0.330) and S at (0.000, 0.500, 0.250).

A relaxed Sr2PuZn2Pd5 crystal, computed with PBE.

The density of states at the Fermi level is 1.72 states/eV per atom. The calculated total energy comes out at -5.143 eV/atom. The value obtained for the formation energy is -5.22 eV per formula unit. Its total magnetization is 0.55 μB per atom.

The structure belongs to space group P4/mbm (No. 127); the cell edges are 10.385, 10.385 and 3.806 Å and the angles 90.00°, 90.00° and 90.00°. The distinct sites, in fractional coordinates, are Sr at (0.177, 0.323, 0.000), Pu at (0.000, 0.000, 0.000), Zn at (0.119, 0.619, 0.000), Pd at (0.000, 0.500, 0.500) and Pd at (0.065, 0.785, 0.500).

A relaxed Nd2HoBi crystal, computed with PBE.

The density of states at the Fermi level is 0.96 states/eV per atom. The calculated total energy comes out at -4.887 eV/atom. The value obtained for the formation energy is -1.55 eV per formula unit. Its total magnetization is 0.00 μB per atom. Its offset from the most stable computed form is 0.005 eV/atom.

The structure belongs to space group Cmcm (No. 63); the cell edges are 4.684, 23.390 and 4.682 Å and the angles 90.00°, 90.00° and 90.00°. The distinct sites, in fractional coordinates, are Nd at (0.000, 0.062, 0.250), Nd at (0.000, 0.434, 0.250), Ho at (0.000, 0.308, 0.750) and Bi at (0.000, 0.174, 0.750).

A relaxed TaSe2N2 crystal, computed with PBE.

The density of states at the Fermi level is 0.60 states/eV per atom. The calculated total energy comes out at -5.290 eV/atom. Its total magnetization is 0.00 μB per atom. Its offset from the most stable computed form is 1.422 eV/atom. For the uncorrected formation energy, the calculation gives 1.80 eV per atom.

The structure belongs to space group I4/mmm (No. 139); the cell edges are 3.664, 3.664 and 10.239 Å and the angles 90.00°, 90.00° and 90.00°. The distinct sites, in fractional coordinates, are Ta at (0.000, 0.000, 0.000), Se at (0.000, 0.000, 0.355) and N at (0.000, 0.500, 0.250).

A relaxed Ag3HgPd6 crystal, computed with PBE.

The density of states at the Fermi level is 0.60 states/eV per atom. The calculated total energy comes out at -3.904 eV/atom. The value obtained for the formation energy is 0.98 eV per formula unit. Its total magnetization is 0.00 μB per atom. Its offset from the most stable computed form is 0.131 eV/atom.

The structure belongs to space group Cmc2_1 (No. 36); the cell edges are 9.824, 13.539 and 5.318 Å and the angles 90.00°, 90.00° and 90.00°. The distinct sites, in fractional coordinates, are Ag at (0.000, 0.102, 0.000), Ag at (0.222, 0.429, 0.505), Hg at (0.000, 0.319, 0.001), Pd at (0.000, 0.286, 0.501), Pd at (0.000, 0.499, 0.254), Pd at (0.134, 0.096, 0.501) and Pd at (0.250, 0.249, 0.753).